Below is a relaxed structure of NdEuAgPt, with properties calculated at the GGA-PBE level.

Output
Its space group is F-43m. Its calculated density is 10.09 Mg/m³. The value obtained for the energy of formation from the pure elements is -630 meV/atom.

a = 5.186 Å, b = 5.186 Å, c = 5.186 Å
α = 60.00°, β = 60.00°, γ = 60.00°
Fractional positions:
Nd  0.000  0.000  0.000
Eu  0.500  0.500  0.500
Ag  0.250  0.250  0.250
Pt  0.750  0.750  0.750

***

Below is a relaxed structure of AlZnIn2, with properties calculated at the GGA-PBE level.

Output
Its space group is R3m. Its calculated density is 6.16 Mg/m³. The value obtained for the energy of formation from the pure elements is 117 meV/atom.

a = 9.898 Å, b = 9.898 Å, c = 9.898 Å
α = 18.67°, β = 18.67°, γ = 18.67°
Fractional positions:
Al  0.000  0.000  0.000
Zn  0.264  0.264  0.264
In  0.516  0.516  0.516
In  0.752  0.752  0.752

***

Below is a relaxed structure of RbCdPI2, with properties calculated at the GGA-PBE level.

Output
Its space group is P4/mmm. Its calculated density is 2.43 Mg/m³. The raw formation energy is 0.4687 eV/atom.

a = 6.982 Å, b = 6.982 Å, c = 6.753 Å
α = 90.00°, β = 90.00°, γ = 90.00°
Fractional positions:
Rb  0.000  0.000  0.000
Cd  0.500  0.500  0.500
P  0.000  0.000  0.500
I  0.000  0.500  0.000
I  0.500  0.000  0.000